An optimized crystal structure of Dy8Te3P3N. Source: Alexandria via LeMat-Bulk, functional PBE-GGA.

Values from the calculation:
* total magnetic moment: 0.002 Bohr magnetons per cell
* formation energy (no corrections): -1966 kJ/mol of formula units

Cell lengths 7.9989, 8.0036, 8.4539 Å; angles 118.26, 90.00, 120.01 degrees
Closest atoms and distances in Å follow each position.
Fractional positions:
Dy: 0.2648 0.5299 0.2949  3 P 2.73
Dy: 0.7352 0.4701 0.7051  3 P 2.73
Dy: 0.7840 0.5681 0.3069  1 N 2.51, 2 P 2.78
Dy: 0.2160 0.4319 0.6931  1 N 2.51, 2 P 2.78
Dy: 0.7838 0.0227 0.3069  1 N 2.51, 2 P 2.78
Dy: 0.2162 0.9773 0.6931  1 N 2.51, 2 P 2.78
Dy: 0.2386 0.0226 0.3070  1 N 2.50, 2 P 2.78
Dy: 0.7614 0.9774 0.6930  1 N 2.50, 2 P 2.78
Te: 0.0000 0.0000 0.0000  6 Dy 3.10-3.11
Te: 0.0000 0.5000 0.0000  6 Dy 3.10-3.11
Te: 0.5000 0.5000 0.0000  6 Dy 3.10-3.11
P: 0.5000 0.0000 0.5000  6 Dy 2.73-2.78
P: 0.5000 0.5000 0.5000  6 Dy 2.73-2.78
P: 0.0000 0.5000 0.5000  6 Dy 2.73-2.78
N: 0.0000 0.0000 0.5000  6 Dy 2.50-2.51

***

An optimized crystal structure of FeHg2Rh. Source: Alexandria via LeMat-Bulk, functional PBE-GGA.

Values from the calculation:
* energy above the lowest structure with this stoichiometry: 44.1 kJ/mol of formula units
* total magnetic moment: 3.524 Bohr magnetons per cell
* formation energy: 290 meV per atom

Cell lengths 5.5694, 5.5694, 5.5694 Å; angles 147.77, 129.68, 61.02 degrees
Closest atoms and distances in Å follow each position.
Fractional positions:
Fe: 0.2703 0.7703 0.5000  2 Rh 2.50
Hg: 0.0171 0.0171 0.0000  4 Rh 2.86, 2 Fe 2.88, 6 Hg 3.09-3.18
Hg: 0.7382 0.2382 0.5000  4 Fe 2.84, 2 Rh 2.97, 6 Hg 3.09-3.18
Rh: 0.4744 0.4744 0.0000  2 Fe 2.50